Density functional theory data (PBE+U) for a geometry-optimized KMoNO2 structure.

```
KMoNO2
1.0
-3.2341 0.9531 2.1310
1.1135 -2.5703 2.8395
2.0240 2.8581 1.7934
O N Mo K
2 1 1 1
Direct
0.5000 0.0000 0.0000
0.0000 0.5000 0.0000
0.0000 0.0000 0.5000
0.0000 0.0000 0.0000
0.5000 0.5000 0.5000
```

Properties
Total energy, eV per atom: -6.26
DOS at the Fermi energy, states/eV/atom: 0.313